(1)
Material: AcDyOs
Method: DFT, PBE
State: optimized geometry

Properties
Energy of formation from the pure elements   -62 meV/atom
Energy above the most stable polymorph in this dataset   0 meV/atom

Cell lengths 4.9813, 4.9813, 4.9813 Å; angles 60.00, 60.00, 60.00 degrees
Last column: nearest neighbours and their distance in Å.
Fractional coordinates of all 3 atoms:
Ac (0.5000, 0.5000, 0.5000)  4 Os 3.05
Os (0.2500, 0.2500, 0.2500)  4 Ac 3.05, 4 Dy 3.05
Dy (0.0000, 0.0000, 0.0000)  4 Os 3.05

=====

(2)
Material: Zn2TcMo
Method: DFT, PBE
State: optimized geometry

Properties
Energy of formation from the pure elements   113 meV/atom
Energy above the most stable polymorph in this dataset   79 meV/atom

Cell lengths 4.6715, 4.6715, 4.8564 Å; angles 83.44, 83.44, 34.18 degrees
Last column: nearest neighbours and their distance in Å.
Fractional coordinates of all 4 atoms:
Mo (0.4980, 0.4980, 0.4793)  3 Tc 2.51-2.76, 2 Mo 2.75, 5 Zn 2.78-2.80
Tc (0.2543, 0.2543, 0.2691)  3 Mo 2.51-2.76, 2 Tc 2.75, 6 Zn 2.79-2.80
Zn (0.9981, 0.9981, 0.9819)  5 Zn 2.56-2.75, 4 Mo 2.78-2.80, 3 Tc 2.80-2.82
Zn (0.7496, 0.7496, 0.7697)  5 Zn 2.56-2.75, 4 Tc 2.79, 3 Mo 2.79-2.84

=====

(3)
Material: KSi2Au4
Method: DFT, PBE
State: optimized geometry

Properties
ΔE_f (raw)   -0.14 eV per atom

Cell lengths 4.6397, 4.5601, 7.0218 Å; angles 108.95, 90.00, 90.00 degrees
Last column: nearest neighbours and their distance in Å.
Fractional coordinates of all 7 atoms:
K (0.0000, 0.0000, 0.0000)  8 Au 3.23-3.31, 8 Si 3.49
Si (0.5000, 0.5952, 0.1905)  4 Au 2.53-2.54, 1 Si 2.53
Si (0.5000, 0.4048, 0.8095)  4 Au 2.53-2.54, 1 Si 2.53
Au (0.5000, 0.8227, 0.6455)  2 Si 2.53
Au (0.0000, 0.6723, 0.3446)  2 Si 2.54
Au (0.5000, 0.1773, 0.3545)  2 Si 2.53
Au (0.0000, 0.3277, 0.6554)  2 Si 2.54

=====

(4)
Material: NdTm2Th4
Method: DFT, PBE
State: optimized geometry

Properties
Energy of formation from the pure elements   224 meV/atom

Cell lengths 6.8516, 6.8516, 11.7109 Å; angles 90.08, 90.08, 121.45 degrees
Last column: nearest neighbours and their distance in Å.
Fractional coordinates of all 14 atoms:
Nd (0.8333, 0.1667, 0.2500)  2 Th 3.35, 1 Tm 3.49
Nd (0.1667, 0.8333, 0.7500)  2 Th 3.35, 1 Tm 3.49
Tm (0.5005, 0.4995, 0.7500)  4 Th 3.43-3.44, 2 Tm 3.67
Tm (0.8749, 0.1251, 0.7500)  6 Th 3.28-3.64, 1 Nd 3.49, 2 Tm 3.67
Tm (0.4995, 0.5005, 0.2500)  4 Th 3.43-3.44, 2 Tm 3.67
Tm (0.1251, 0.8749, 0.2500)  6 Th 3.28-3.64, 1 Nd 3.49, 2 Tm 3.67
Th (0.2312, 0.2313, 0.4999)  3 Th 3.10-3.25, 2 Tm 3.43-3.44
Th (0.7258, 0.2745, 0.9855)  6 Th 3.25-3.63, 1 Tm 3.28, 1 Nd 3.35
Th (0.7255, 0.2742, 0.5145)  6 Th 3.25-3.63, 1 Tm 3.28, 1 Nd 3.35
Th (0.7687, 0.7688, 0.0001)  3 Th 3.10-3.25, 2 Tm 3.43-3.44
Th (0.2313, 0.2312, 0.9999)  3 Th 3.10-3.25, 2 Tm 3.43-3.44
Th (0.2745, 0.7258, 0.4855)  6 Th 3.25-3.63, 1 Tm 3.28, 1 Nd 3.35
Th (0.2742, 0.7255, 0.0145)  6 Th 3.25-3.63, 1 Tm 3.28, 1 Nd 3.35
Th (0.7688, 0.7687, 0.5001)  3 Th 3.10-3.25, 2 Tm 3.43-3.44

=====

(5)
Material: Na5CdPb
Method: DFT, PBE
State: optimized geometry

Properties
Energy of formation from the pure elements   -33 meV/atom
Energy above the most stable polymorph in this dataset   4 meV/atom

Cell lengths 5.2820, 5.2820, 8.0396 Å; angles 90.00, 90.00, 89.56 degrees
Last column: nearest neighbours and their distance in Å.
Fractional coordinates of all 7 atoms:
Na (0.5000, 0.0000, 0.2332)  2 Cd 3.24, 2 Pb 3.40, 2 Na 3.40
Na (0.0000, 0.5000, 0.2332)  2 Cd 3.24, 2 Pb 3.40, 2 Na 3.40
Na (0.0000, 0.0000, 0.5000)  8 Na 3.40, 4 Pb 3.72-3.75
Na (0.0000, 0.5000, 0.7668)  2 Cd 3.24, 2 Pb 3.40, 2 Na 3.40
Na (0.5000, 0.0000, 0.7668)  2 Cd 3.24, 2 Pb 3.40, 2 Na 3.40
Cd (0.0000, 0.0000, 0.0000)  8 Na 3.24
Pb (0.5000, 0.5000, 0.5000)  12 Na 3.40-3.75

=====

(6)
Material: Li4Np3Se8
Method: DFT, PBE
State: optimized geometry

Properties
Energy above the most stable polymorph in this dataset   0 meV/atom
ΔE_f (raw)   -1.12 eV per atom

Cell lengths 8.1523, 8.1523, 8.2938 Å; angles 60.56, 60.56, 60.00 degrees
Last column: nearest neighbours and their distance in Å.
Fractional coordinates of all 15 atoms:
Li (0.0000, 0.0000, 0.0000)  6 Se 2.95
Li (0.3655, 0.3655, 0.9036)  4 Se 2.51-2.67, 1 Li 2.76
Li (0.5000, 0.5000, 0.5000)  2 Li 2.76, 6 Se 2.87
Li (0.6345, 0.6345, 0.0964)  4 Se 2.51-2.67, 1 Li 2.76
Np (0.5000, 0.0000, 0.5000)  6 Se 2.81-2.82
Np (0.0000, 0.0000, 0.5000)  6 Se 2.81-2.82
Np (0.0000, 0.5000, 0.5000)  6 Se 2.81-2.82
Se (0.2427, 0.2427, 0.2718)  1 Li 2.51
Se (0.2370, 0.7469, 0.2691)  3 Li 2.67-2.95, 2 Np 2.81
Se (0.7469, 0.7469, 0.2691)  3 Li 2.67-2.95, 2 Np 2.81
Se (0.7469, 0.2370, 0.2691)  3 Li 2.67-2.95, 2 Np 2.81
Se (0.7573, 0.7573, 0.7282)  1 Li 2.51
Se (0.7630, 0.2531, 0.7309)  3 Li 2.67-2.95, 2 Np 2.81
Se (0.2531, 0.2531, 0.7309)  3 Li 2.67-2.95, 2 Np 2.81
Se (0.2531, 0.7630, 0.7309)  3 Li 2.67-2.95, 2 Np 2.81

=====

(7)
Material: LiTa2As
Method: DFT, PBE
State: optimized geometry

Properties
Energy of formation from the pure elements   36 meV/atom

Cell lengths 2.8653, 2.8653, 8.6773 Å; angles 90.00, 90.00, 90.00 degrees
Last column: nearest neighbours and their distance in Å.
Fractional coordinates of all 4 atoms:
As (0.0000, 0.0000, 0.4976)  4 Li 2.82, 4 Ta 2.83, 4 As 2.87
Li (0.5000, 0.5000, 0.7232)  4 As 2.82, 4 Li 2.87
Ta (0.0000, 0.0000, 0.0098)  8 Ta 2.87-3.03, 4 Li 3.21
Ta (0.5000, 0.5000, 0.2694)  4 As 2.83, 8 Ta 2.87-3.03

=====

(8)
Material: Rb2TaTe
Method: DFT, PBE
State: optimized geometry

Properties
ΔE_f (raw)   0.62 eV per atom

Cell lengths 13.5211, 13.5211, 9.9288 Å; angles 47.09, 47.09, 90.00 degrees
Last column: nearest neighbours and their distance in Å.
Fractional coordinates of all 8 atoms:
Te (0.5000, 0.5000, 0.0000)  2 Ta 2.68
Te (0.2500, 0.7500, 0.5000)  2 Ta 2.68
Rb (0.4527, 0.1250, 0.2500)  2 Te 3.60
Rb (0.2973, 0.6250, 0.2500)  2 Te 3.60
Rb (0.3750, 0.5473, 0.7500)  2 Te 3.60
Rb (0.8750, 0.7027, 0.7500)  2 Te 3.60
Ta (0.0000, 0.0000, 0.0000)  2 Te 2.68
Ta (0.7500, 0.2500, 0.5000)  2 Te 2.68

=====

(9)
Material: Er2TlZn
Method: DFT, PBE
State: optimized geometry

Properties
Energy of formation from the pure elements   -198 meV/atom

Cell lengths 3.6506, 3.6506, 9.4039 Å; angles 78.81, 78.81, 60.00 degrees
Last column: nearest neighbours and their distance in Å.
Fractional coordinates of all 4 atoms:
Tl (0.5000, 0.5000, 0.5000)  6 Er 3.24
Zn (0.0000, 0.0000, 0.0000)  6 Er 2.99
Er (0.2562, 0.2562, 0.2315)  3 Zn 2.99, 3 Tl 3.24
Er (0.7438, 0.7438, 0.7685)  3 Zn 2.99, 3 Tl 3.24

=====

(10)
Material: NaFe2Bi2
Method: DFT, PBE
State: optimized geometry

Properties
Energy of formation from the pure elements   112 meV/atom

Cell lengths 3.5280, 3.5280, 9.4741 Å; angles 79.27, 79.27, 90.00 degrees
Last column: nearest neighbours and their distance in Å.
Fractional coordinates of all 5 atoms:
Na (0.0000, 0.0000, 0.0000)  8 Bi 3.46, 4 Na 3.53
Bi (0.3689, 0.3689, 0.2622)  4 Fe 2.80
Bi (0.6311, 0.6311, 0.7378)  4 Fe 2.80
Fe (0.7500, 0.2500, 0.5000)  4 Fe 2.49
Fe (0.2500, 0.7500, 0.5000)  4 Fe 2.49

=====

(11)
Material: LiSc4Si4O14
Method: DFT, PBE
State: optimized geometry

Properties
Energy above the most stable polymorph in this dataset   45 meV/atom
ΔE_f (raw)   -2.83 eV per atom

Cell lengths 6.7185, 6.7185, 6.7185 Å; angles 60.00, 60.00, 60.00 degrees
Last column: nearest neighbours and their distance in Å.
Fractional coordinates of all 23 atoms:
Li (0.2500, 0.2500, 0.2500)  6 O 1.88
Sc (0.6251, 0.6251, 0.1246)  2 O 2.06
Sc (0.6251, 0.1246, 0.6251)  2 O 2.06
Sc (0.1246, 0.6251, 0.6251)  2 O 2.06
Sc (0.6251, 0.6251, 0.6251)  2 O 2.06
Si (0.1186, 0.1186, 0.6443)  6 O 1.75-1.87
Si (0.1186, 0.6443, 0.1186)  6 O 1.75-1.87
Si (0.6443, 0.1186, 0.1186)  6 O 1.75-1.87
Si (0.1186, 0.1186, 0.1186)  6 O 1.75-1.87
O (0.4476, 0.0524, 0.4476)  2 Si 1.87, 1 Li 1.88
O (0.1957, 0.8043, 0.1957)  2 Si 1.75
O (0.4476, 0.4476, 0.0524)  2 Si 1.87, 1 Li 1.88
O (0.0524, 0.4476, 0.4476)  2 Si 1.87, 1 Li 1.88
O (0.4476, 0.0524, 0.0524)  2 Si 1.87, 1 Li 1.88
O (0.0524, 0.0524, 0.4476)  2 Si 1.87, 1 Li 1.88
O (0.8043, 0.8043, 0.1957)  2 Si 1.75
O (0.1957, 0.1957, 0.8043)  2 Si 1.75
O (0.7500, 0.7500, 0.7500)  4 Sc 2.06
O (0.5000, 0.5000, 0.5000)  4 Sc 2.06
O (0.0524, 0.4476, 0.0524)  2 Si 1.87, 1 Li 1.88
O (0.8043, 0.1957, 0.1957)  2 Si 1.75
O (0.1957, 0.8043, 0.8043)  2 Si 1.75
O (0.8043, 0.1957, 0.8043)  2 Si 1.75

=====

(12)
Material: FeCuN2
Method: DFT, PBE
State: optimized geometry

Properties
Energy above the most stable polymorph in this dataset   0 meV/atom
ΔE_f (raw)   0.92 eV per atom

Cell lengths 5.9508, 5.9508, 5.9508 Å; angles 28.15, 28.15, 28.15 degrees
Last column: nearest neighbours and their distance in Å.
Fractional coordinates of all 4 atoms:
Fe (0.0000, 0.0000, 0.0000)  2 N 1.76
Cu (0.5000, 0.5000, 0.5000)  6 N 2.00
N (0.8973, 0.8973, 0.8973)  1 Fe 1.76
N (0.1027, 0.1027, 0.1027)  1 Fe 1.76

=====

(13)
Material: TiAl2Pb2
Method: DFT, PBE
State: optimized geometry

Properties
Energy of formation from the pure elements   284 meV/atom
Energy above the most stable polymorph in this dataset   0 meV/atom

Cell lengths 7.3566, 7.3566, 4.1522 Å; angles 90.00, 90.00, 90.00 degrees
Last column: nearest neighbours and their distance in Å.
Fractional coordinates of all 10 atoms:
Pb (0.1746, 0.6746, 0.5000)  6 Al 2.90-3.08
Pb (0.6746, 0.8254, 0.5000)  6 Al 2.90-3.08
Pb (0.8254, 0.3254, 0.5000)  6 Al 2.90-3.08
Pb (0.3254, 0.1746, 0.5000)  6 Al 2.90-3.08
Al (0.3689, 0.8689, 0.0000)  1 Al 2.73, 2 Ti 2.88, 2 Pb 2.90
Al (0.8689, 0.6311, 0.0000)  1 Al 2.73, 2 Ti 2.88, 2 Pb 2.90
Al (0.6311, 0.1311, 0.0000)  1 Al 2.73, 2 Ti 2.88, 2 Pb 2.90
Al (0.1311, 0.3689, 0.0000)  1 Al 2.73, 2 Ti 2.88, 2 Pb 2.90
Ti (0.0000, 0.0000, 0.0000)  4 Al 2.88
Ti (0.5000, 0.5000, 0.0000)  4 Al 2.88

=====

(14)
Material: Ac2PuO4
Method: DFT, PBE
State: optimized geometry

Properties
ΔE_f (raw)   -2.73 eV per atom

Cell lengths 4.4245, 4.4245, 7.4169 Å; angles 107.35, 107.35, 90.00 degrees
Last column: nearest neighbours and their distance in Å.
Fractional coordinates of all 7 atoms:
Ac (0.6527, 0.6527, 0.3055)  1 O 2.30
Ac (0.3473, 0.3473, 0.6945)  1 O 2.30
O (0.8236, 0.8236, 0.6473)  1 Ac 2.30, 1 Pu 2.37
O (0.1764, 0.1764, 0.3527)  1 Ac 2.30, 1 Pu 2.37
O (0.0000, 0.5000, 0.0000)  2 Pu 2.21
O (0.5000, 0.0000, 0.0000)  2 Pu 2.21
Pu (0.0000, 0.0000, 0.0000)  6 O 2.21-2.37

=====

(15)
Material: La4CuCl5
Method: DFT, PBE
State: optimized geometry

Properties
ΔE_f (raw)   -1.61 eV per atom

Cell lengths 4.0193, 8.6696, 9.3370 Å; angles 102.30, 102.43, 90.00 degrees
Last column: nearest neighbours and their distance in Å.
Fractional coordinates of all 10 atoms:
La (0.3310, 0.9270, 0.6620)  5 Cl 2.92-3.01, 1 Cu 3.01
La (0.9950, 0.7648, 0.9900)  2 Cu 2.85, 4 Cl 2.91-3.07
La (0.6690, 0.0730, 0.3380)  5 Cl 2.92-3.01, 1 Cu 3.01
La (0.0050, 0.2352, 0.0100)  2 Cu 2.85, 4 Cl 2.91-3.07
Cu (0.5000, 0.0000, 0.0000)  6 La 2.85-3.01
Cl (0.8314, 0.6825, 0.6627)  3 La 2.91-2.92
Cl (0.8374, 0.1821, 0.6748)  4 La 2.97-3.01
Cl (0.1626, 0.8179, 0.3252)  4 La 2.97-3.01
Cl (0.5000, 0.5000, 0.0000)  4 La 3.07
Cl (0.1686, 0.3175, 0.3373)  3 La 2.91-2.92

=====

(16)
Material: Sr2HgRh2
Method: DFT, PBE
State: optimized geometry

Properties
Energy of formation from the pure elements   -340 meV/atom

Cell lengths 4.2534, 4.4137, 7.2905 Å; angles 90.00, 106.95, 90.00 degrees
Last column: nearest neighbours and their distance in Å.
Fractional coordinates of all 5 atoms:
Sr (0.3618, 0.5000, 0.7239)  6 Rh 3.16-3.18
Sr (0.6382, 0.5000, 0.2761)  6 Rh 3.16-3.18
Hg (0.0000, 0.0000, 0.0000)  2 Rh 2.78
Rh (0.8006, 0.0000, 0.6013)  2 Rh 2.55, 1 Hg 2.78
Rh (0.1994, 0.0000, 0.3987)  2 Rh 2.55, 1 Hg 2.78

=====

(17)
Material: Pu2HfMg
Method: DFT, PBE
State: optimized geometry

Properties
Energy of formation from the pure elements   140 meV/atom
Energy above the most stable polymorph in this dataset   0 meV/atom

Cell lengths 3.1324, 3.1324, 9.8985 Å; angles 90.00, 90.00, 90.00 degrees
Last column: nearest neighbours and their distance in Å.
Fractional coordinates of all 4 atoms:
Mg (0.5000, 0.5000, 0.5000)  4 Mg 3.13, 8 Pu 3.40
Hf (0.5000, 0.5000, 0.0000)  4 Hf 3.13, 8 Pu 3.25
Pu (0.0000, 0.0000, 0.7600)  4 Pu 3.13, 4 Hf 3.25, 4 Mg 3.40
Pu (0.0000, 0.0000, 0.2400)  4 Pu 3.13, 4 Hf 3.25, 4 Mg 3.40

=====

(18)
Material: ZnGa2Pb
Method: DFT, PBE
State: optimized geometry

Properties
Energy of formation from the pure elements   142 meV/atom
Energy above the most stable polymorph in this dataset   58 meV/atom

Cell lengths 7.8762, 7.8762, 6.2851 Å; angles 51.20, 51.20, 90.00 degrees
Last column: nearest neighbours and their distance in Å.
Fractional coordinates of all 8 atoms:
Pb (0.0000, 0.0000, 0.0000)  2 Zn 2.91, 4 Ga 3.12
Pb (0.7500, 0.2500, 0.5000)  2 Zn 2.91, 4 Ga 3.12
Zn (0.5000, 0.5000, 0.0000)  4 Ga 2.66, 2 Pb 2.91
Zn (0.2500, 0.7500, 0.5000)  4 Ga 2.66, 2 Pb 2.91
Ga (0.5814, 0.1250, 0.2500)  2 Zn 2.66
Ga (0.1686, 0.6250, 0.2500)  2 Zn 2.66
Ga (0.3750, 0.4186, 0.7500)  2 Zn 2.66
Ga (0.8750, 0.8314, 0.7500)  2 Zn 2.66

=====

(19)
Material: AsPCI
Method: DFT, PBE
State: optimized geometry

Properties
Energy above the most stable polymorph in this dataset   327 meV/atom
ΔE_f (raw)   0.73 eV per atom

Cell lengths 7.3892, 5.1518, 7.0244 Å; angles 90.00, 115.14, 90.00 degrees
Last column: nearest neighbours and their distance in Å.
Fractional coordinates of all 8 atoms:
I (0.0820, 0.0000, 0.3672)  1 C 2.06
I (0.0820, 0.5000, 0.8672)  1 C 2.06
P (0.5793, 0.0000, 0.4201)  1 C 1.72
P (0.5793, 0.5000, 0.9201)  1 C 1.72
As (0.6038, 0.0000, 0.7716)  1 C 1.90
As (0.6038, 0.5000, 0.2716)  1 C 1.90
C (0.3892, 0.0000, 0.4994)  1 P 1.72, 1 As 1.90
C (0.3892, 0.5000, 0.9994)  1 P 1.72, 1 As 1.90

=====

(20)
Material: BaVGa
Method: DFT, PBE
State: optimized geometry

Properties
Energy of formation from the pure elements   66 meV/atom

Cell lengths 3.9160, 3.9160, 11.0357 Å; angles 90.00, 90.00, 90.00 degrees
Last column: nearest neighbours and their distance in Å.
Fractional coordinates of all 6 atoms:
Ga (0.5000, 0.0000, 0.6547)  4 V 2.60
Ga (0.0000, 0.5000, 0.3453)  4 V 2.60
Ba (0.5000, 0.0000, 0.1820)  4 Ga 3.30
Ba (0.0000, 0.5000, 0.8180)  4 Ga 3.30
V (0.5000, 0.5000, 0.5000)  4 Ga 2.60, 4 V 2.77
V (0.0000, 0.0000, 0.5000)  4 Ga 2.60, 4 V 2.77